--- w ---
The following is a DFT calculation (PBE) of a geometry-optimized NaCa3Ir structure.

a = 5.594 Å, b = 5.594 Å, c = 5.594 Å
α = 90.00°, β = 90.00°, γ = 90.00°
Sites, in units of the cell vectors:
Na 0.500 0.500 0.500
Ca 0.000 0.500 0.000
Ca 0.000 0.000 0.500
Ca 0.500 0.000 0.000
Ir 0.000 0.000 0.000

Values from the calculation:
Theoretical density ... 3.2 g cm⁻³

--- x ---
The following is a DFT calculation (PBE) of a geometry-optimized NaCa3Ir structure.

a = 5.459 Å, b = 5.459 Å, c = 5.459 Å
α = 90.00°, β = 90.00°, γ = 90.00°
Sites, in units of the cell vectors:
Na 0.000 0.000 0.000
Ca 0.000 0.500 0.000
Ca 0.000 0.000 0.500
Ca 0.500 0.000 0.000
Ir 0.500 0.500 0.500

Values from the calculation:
Theoretical density ... 3.4 g cm⁻³

Quick one: most stable of them? w